one.
Computed, not measured: a relaxed DyCoNO crystal at the PBE with a Hubbard U level of DFT.

For the size of the total moment, the calculation gives 3.00 μB per formula unit.

Cell: 3.716 4.922 6.039 Å, 90.00 90.00 90.00°
Fractional coordinates of all 8 atoms:
Co 0.500 0.971 0.192
Co 0.500 0.471 0.808
Dy 0.000 0.452 0.304
Dy 0.000 0.952 0.696
N 0.000 0.937 0.322
N 0.000 0.437 0.678
O 0.500 0.394 0.130
O 0.500 0.894 0.870

two.
Computed, not measured: a relaxed DyCoNO crystal at the PBE with a Hubbard U level of DFT.

For the size of the total moment, the calculation gives 1.00 μB per formula unit.

Cell: 3.714 3.714 7.073 Å, 90.00 90.00 90.00°
Fractional coordinates of all 8 atoms:
Co 0.750 0.250 0.500
Co 0.250 0.750 0.500
Dy 0.250 0.250 0.165
Dy 0.750 0.750 0.835
N 0.750 0.750 0.414
N 0.250 0.250 0.586
O 0.750 0.250 0.000
O 0.250 0.750 0.000

Preferred: one; penalty for the next structure: 55 meV/atom.

one.
Computed, not measured: a relaxed DyCoNO crystal at the PBE with a Hubbard U level of DFT.

For the size of the total moment, the calculation gives 3.00 μB per formula unit.

Cell: 4.812 4.812 4.360 Å, 90.01 90.01 90.86°
Fractional coordinates of all 8 atoms:
Co 0.695 0.695 0.167
Co 0.246 0.246 0.169
Dy 0.726 0.216 0.668
Dy 0.216 0.726 0.668
N 0.218 0.218 0.667
N 0.725 0.725 0.669
O 0.688 0.259 0.168
O 0.259 0.688 0.168

two.
Computed, not measured: a relaxed DyCoNO crystal at the PBE with a Hubbard U level of DFT.

For the size of the total moment, the calculation gives 2.96 μB per formula unit.

Cell: 4.762 4.762 4.334 Å, 90.00 90.00 90.00°
Fractional coordinates of all 8 atoms:
Co 0.250 0.250 0.002
Co 0.750 0.750 0.998
Dy 0.750 0.250 0.500
Dy 0.250 0.750 0.500
N 0.750 0.750 0.498
N 0.250 0.250 0.502
O 0.750 0.250 0.000
O 0.250 0.750 0.000

Preferred: one; penalty for the next structure: 81 meV/atom.

one.
Computed, not measured: a relaxed DyCoNO crystal at the PBE with a Hubbard U level of DFT.

For the size of the total moment, the calculation gives 3.00 μB per formula unit.

Cell: 3.381 5.634 5.397 Å, 90.00 90.00 90.00°
Fractional coordinates of all 8 atoms:
Co 0.000 0.517 0.236
Co 0.000 0.017 0.764
Dy 0.500 0.046 0.303
Dy 0.500 0.546 0.697
N 0.000 0.791 0.445
N 0.000 0.291 0.555
O 0.500 0.399 0.083
O 0.500 0.899 0.917

two.
Computed, not measured: a relaxed DyCoNO crystal at the PBE with a Hubbard U level of DFT.

For the size of the total moment, the calculation gives 2.96 μB per formula unit.

Cell: 4.768 4.768 4.339 Å, 90.00 90.00 90.00°
Fractional coordinates of all 8 atoms:
Co 0.000 0.500 0.000
Co 0.500 0.000 0.000
Dy 0.000 0.000 0.500
Dy 0.500 0.500 0.500
N 0.000 0.500 0.500
N 0.500 0.000 0.500
O 0.000 0.000 0.000
O 0.500 0.500 0.000

Preferred: one; penalty for the next structure: 76 meV/atom.